#w
First-principles (GGA-PBE) data for an optimized crystal structure of MgCd6Ag8, as listed in the Alexandria database.

Results
crystal system: trigonal
spin magnetization: 0.0000 μB/atom

The structure in POSCAR format:
```
MgCd6Ag8
1.0
-7.183 2.994 1.916
-3.154 -1.461 7.222
-1.027 5.050 5.020
Ag Mg Cd
8 1 6
Cartesian
-2.764 1.791 3.603 Ag
-8.600 4.792 10.556 Ag
-5.229 3.323 3.828 Ag
-2.507 3.093 6.270 Ag
-4.198 0.737 8.510 Ag
-8.857 3.490 7.888 Ag
-7.166 5.846 5.648 Ag
-6.135 3.260 10.330 Ag
0.000 0.000 0.000 Mg
-7.498 2.931 5.332 Cd
-4.322 5.137 5.972 Cd
-3.867 3.652 8.826 Cd
-7.042 1.446 8.186 Cd
-6.592 5.338 8.289 Cd
-4.773 1.245 5.870 Cd
```

***

#x
First-principles (GGA-PBE) data for an optimized crystal structure of MgCd6Ag8, as listed in the Alexandria database.

Results
crystal system: hexagonal
spin magnetization: 0.0000 μB/atom

The structure in POSCAR format:
```
MgCd6Ag8
1.0
4.842 0.000 0.000
0.000 7.471 -4.313
0.000 0.000 8.627
Cd Ag Mg
6 8 1
Cartesian
2.421 1.591 5.878 Cd
2.421 5.880 -1.564 Cd
2.421 4.295 4.311 Cd
2.421 3.176 0.003 Cd
2.421 5.886 1.561 Cd
2.421 1.586 2.752 Cd
0.001 2.437 -1.405 Ag
4.842 2.490 4.313 Ag
0.000 4.981 0.000 Ag
4.841 2.436 1.408 Ag
0.001 5.035 2.905 Ag
0.001 7.470 -1.500 Ag
4.841 5.034 5.719 Ag
4.841 0.002 5.813 Ag
2.421 0.000 0.000 Mg
```

***

Going by the energies, #x is most stable and the next is 0.028 eV/atom up.

***

#w
First-principles (GGA-PBE) data for an optimized crystal structure of Mg6Cd2Ag, as listed in the Alexandria database.

Results
crystal system: monoclinic
spin magnetization: 0.0000 μB/atom

The structure in POSCAR format:
```
Mg6Cd2Ag
1.0
-0.780 -0.045 4.486
-3.996 -5.613 -0.751
8.009 -1.321 -0.752
Mg Cd Ag
6 2 1
Cartesian
-3.427 -4.288 1.672 Mg
4.446 -1.334 3.203 Mg
-1.349 -1.370 2.063 Mg
0.897 -2.682 0.177 Mg
2.336 -4.297 2.807 Mg
-1.213 -5.645 -0.220 Mg
-0.539 -4.194 2.227 Cd
3.771 -2.786 0.757 Cd
0.000 0.000 0.000 Ag
```

***

#x
First-principles (GGA-PBE) data for an optimized crystal structure of Mg6Cd2Ag, as listed in the Alexandria database.

Results
crystal system: hexagonal
spin magnetization: 0.0000 μB/atom

The structure in POSCAR format:
```
Mg6Cd2Ag
1.0
-0.775 -2.435 -2.035
-1.340 -4.952 6.435
-6.156 4.522 -3.064
Cd Mg Ag
2 6 1
Cartesian
-2.946 -1.794 3.269 Cd
-4.551 1.364 0.102 Cd
-4.271 1.634 -2.950 Mg
-3.155 -1.376 0.227 Mg
-5.392 -0.310 2.425 Mg
-1.727 1.269 -0.860 Mg
-1.234 -4.341 3.041 Mg
-0.376 -1.390 1.806 Mg
-7.883 -1.648 2.353 Ag
```

***

Going by the energies, #x is most stable and the next is 0.141 eV/atom up.

***

#w
First-principles (GGA-PBE) data for an optimized crystal structure of MgCdAg6, as listed in the Alexandria database.

Results
crystal system: tetragonal
spin magnetization: 0.0000 μB/atom

The structure in POSCAR format:
```
MgCdAg6
1.0
4.105 0.000 0.000
0.000 5.967 -0.036
0.000 0.040 5.967
Ag Cd Mg
6 1 1
Cartesian
2.052 2.983 -0.018 Ag
0.000 4.482 4.426 Ag
2.052 0.020 2.983 Ag
0.000 1.544 4.443 Ag
0.000 1.524 1.505 Ag
0.000 4.463 1.487 Ag
2.052 0.000 0.000 Cd
2.052 3.003 2.965 Mg
```

***

#x
First-principles (GGA-PBE) data for an optimized crystal structure of MgCdAg6, as listed in the Alexandria database.

Results
crystal system: trigonal
spin magnetization: 0.0000 μB/atom

The structure in POSCAR format:
```
MgCdAg6
1.0
-1.646 5.040 1.831
-5.453 -1.309 0.134
0.000 -1.449 5.419
Ag Mg Cd
6 1 1
Cartesian
-3.917 2.390 6.119 Ag
-5.323 0.046 5.492 Ag
-1.168 -0.159 3.216 Ag
-1.776 2.236 1.891 Ag
-5.930 2.441 4.168 Ag
-3.181 -0.108 1.264 Ag
-3.549 1.141 3.692 Mg
0.000 0.000 0.000 Cd
```

***

Going by the energies, #w is most stable and the next is 0.263 eV/atom up.

***

#w
First-principles (GGA-PBE) data for an optimized crystal structure of MgCd3Ag7, as listed in the Alexandria database.

Results
crystal system: orthorhombic
spin magnetization: 0.0000 μB/atom

The structure in POSCAR format:
```
MgCd3Ag7
1.0
3.154 0.000 0.000
-1.577 11.939 0.000
0.000 0.000 11.267
Ag Mg Cd
14 2 6
Cartesian
0.000 8.316 4.754 Ag
1.577 0.539 6.940 Ag
0.000 8.355 8.451 Ag
1.577 3.624 6.513 Ag
1.577 3.584 2.817 Ag
0.000 11.401 4.327 Ag
1.577 0.539 9.961 Ag
1.577 6.763 6.573 Ag
0.000 5.176 0.940 Ag
1.577 6.763 10.328 Ag
0.000 8.316 0.879 Ag
0.000 11.401 1.307 Ag
1.577 3.624 10.388 Ag
0.000 5.176 4.694 Ag
1.577 9.687 2.817 Mg
0.000 2.252 8.451 Mg
0.000 1.917 0.978 Cd
1.577 6.702 2.817 Cd
0.000 1.917 4.656 Cd
0.000 5.237 8.451 Cd
1.577 10.023 10.289 Cd
1.577 10.023 6.612 Cd
```

***

#x
First-principles (GGA-PBE) data for an optimized crystal structure of MgCd3Ag7, as listed in the Alexandria database.

Results
crystal system: monoclinic
spin magnetization: 0.0000 μB/atom

The structure in POSCAR format:
```
MgCd3Ag7
1.0
5.231 -0.322 -0.413
-2.759 6.775 0.718
-2.759 -0.946 6.747
Ag Cd Mg
7 3 1
Cartesian
-1.093 4.341 5.559 Ag
0.807 1.166 1.493 Ag
-0.200 1.731 6.292 Ag
-0.087 -0.178 3.848 Ag
-0.087 3.776 0.761 Ag
-0.200 5.684 3.204 Ag
-2.759 2.915 3.732 Ag
-2.759 5.150 1.987 Cd
-2.759 0.679 5.478 Cd
2.616 -0.161 -0.206 Cd
-0.143 2.753 3.526 Mg
```

***

Going by the energies, #w is most stable and the next is 0.106 eV/atom up.

***

#w
First-principles (GGA-PBE) data for an optimized crystal structure of MgCd3Ag3, as listed in the Alexandria database.

Results
crystal system: hexagonal
spin magnetization: 0.0000 μB/atom

The structure in POSCAR format:
```
MgCd3Ag3
1.0
-3.681 1.086 3.059
-4.653 -5.417 -3.675
4.546 -2.190 6.248
Mg Ag Cd
2 6 6
Cartesian
-1.281 -2.451 5.234 Mg
-2.507 -4.070 0.397 Mg
-1.222 -5.798 2.557 Ag
-4.496 -5.302 -1.559 Ag
-1.985 -5.412 5.438 Ag
-1.802 -1.109 0.194 Ag
-2.566 -0.723 3.075 Ag
0.708 -1.219 7.191 Ag
-0.543 -2.773 2.300 Cd
-4.510 -1.909 1.157 Cd
-3.245 -3.748 3.332 Cd
-5.287 -4.923 1.292 Cd
1.499 -1.597 4.340 Cd
0.722 -4.612 4.475 Cd
```

***

#x
First-principles (GGA-PBE) data for an optimized crystal structure of MgCd3Ag3, as listed in the Alexandria database.

Results
crystal system: trigonal
spin magnetization: 0.0000 μB/atom

The structure in POSCAR format:
```
MgCd3Ag3
1.0
-3.617 -5.899 2.447
4.131 -4.933 3.531
-0.987 -0.244 7.269
Cd Mg Ag
6 2 6
Cartesian
1.542 -7.507 6.057 Cd
2.307 -4.605 6.477 Cd
-2.780 -6.471 6.769 Cd
-0.938 -6.940 4.409 Cd
-2.015 -3.568 7.190 Cd
0.465 -4.135 8.837 Cd
-0.315 -7.384 8.831 Mg
-0.158 -3.692 4.415 Mg
-2.198 -5.348 9.434 Ag
0.556 -2.199 6.721 Ag
-2.818 -4.671 4.534 Ag
-1.028 -8.877 6.526 Ag
2.346 -6.405 8.713 Ag
1.725 -5.728 3.812 Ag
```

***

#y
First-principles (GGA-PBE) data for an optimized crystal structure of MgCd3Ag3, as listed in the Alexandria database.

Results
crystal system: cubic
spin magnetization: 0.0000 μB/atom

The structure in POSCAR format:
```
MgCd3Ag3
1.0
7.700 0.000 0.000
0.000 7.700 0.000
0.000 0.000 7.700
Cd Ag Mg
6 6 2
Cartesian
3.850 5.775 0.000 Cd
3.850 1.925 0.000 Cd
0.000 3.850 1.925 Cd
1.925 0.000 3.850 Cd
0.000 3.850 5.775 Cd
5.775 0.000 3.850 Cd
3.850 0.000 5.775 Ag
5.775 3.850 0.000 Ag
0.000 5.775 3.850 Ag
0.000 1.925 3.850 Ag
3.850 0.000 1.925 Ag
1.925 3.850 0.000 Ag
0.000 0.000 0.000 Mg
3.850 3.850 3.850 Mg
```

***

Going by the energies, #w is most stable and the next is 0.052 eV/atom up.

***

#w
First-principles (GGA-PBE) data for an optimized crystal structure of Mg2Cd3Ag8, as listed in the Alexandria database.

Results
crystal system: monoclinic
spin magnetization: 0.0000 μB/atom

The structure in POSCAR format:
```
Mg2Cd3Ag8
1.0
4.168 0.001 -0.001
-0.002 5.748 -3.244
0.004 -0.011 10.662
Ag Mg Cd
8 2 3
Cartesian
2.086 1.533 8.180 Ag
0.001 5.240 5.303 Ag
2.083 4.204 -0.764 Ag
2.084 2.501 1.686 Ag
0.000 4.555 1.311 Ag
2.085 3.236 5.730 Ag
0.002 1.181 6.107 Ag
0.001 0.496 2.114 Ag
2.084 4.769 3.339 Mg
2.085 0.969 4.077 Mg
0.002 3.597 7.776 Cd
2.084 0.000 -0.001 Cd
-0.001 2.139 -0.358 Cd
```

***

#x
First-principles (GGA-PBE) data for an optimized crystal structure of Mg2Cd3Ag8, as listed in the Alexandria database.

Results
crystal system: trigonal
spin magnetization: 0.0000 μB/atom

The structure in POSCAR format:
```
Mg2Cd3Ag8
1.0
-4.614 -2.800 1.090
-0.317 -3.133 4.517
-5.247 6.024 7.165
Ag Mg Cd
8 2 3
Cartesian
-7.894 0.647 9.962 Ag
-5.057 -0.921 4.038 Ag
-5.216 -2.489 6.299 Ag
-5.121 1.013 8.734 Ag
-2.906 -1.088 5.753 Ag
-7.272 1.179 7.019 Ag
-2.284 -0.556 2.810 Ag
-4.962 2.581 6.473 Ag
-6.597 3.394 8.603 Mg
-3.581 -3.303 4.170 Mg
-6.905 -1.550 8.508 Cd
0.000 0.000 0.000 Cd
-3.273 1.641 4.264 Cd
```

***

Going by the energies, #w is most stable and the next is 0.072 eV/atom up.